<a>
# InOs3

InOs3 at its PBEsol-relaxed geometry (meta-GGA SCAN, Alexandria).

abc: 2.8129 2.8129 8.8672
angles: 90.00 90.00 120.00
Closest atoms and distances in Å follow each position.
Space group P-6m2 (No. 187)
Asymmetric unit:
1 In 0.0000 0.0000 0.0000 [1 per cell]  6 In 2.81, 6 Os 2.87
2 Os 0.0000 0.0000 0.5000 [1 per cell]  12 Os 2.63-2.81
3 Os 0.3333 0.6667 0.2670 [2 per cell]  9 Os 2.63-2.81, 3 In 2.87

Properties
The calculated volume comes out at 60.76 Å³/f.u.

<b>
# InOs3

InOs3 at its PBEsol-relaxed geometry (meta-GGA SCAN, Alexandria).

abc: 4.8962 4.8962 4.8962
angles: 90.00 90.00 90.00
Closest atoms and distances in Å follow each position.
Space group Pm-3m (No. 221)
Asymmetric unit:
1 In 0.0000 0.0000 0.0000 [1 per cell]  6 Os 2.45
2 Os 0.0000 0.0000 0.5000 [3 per cell]  2 In 2.45

Properties
The calculated volume comes out at 117.38 Å³/f.u.

What should be chosen as the most stable of them? Choose <a>.

<a>
# InSbOs2

InSbOs2 at its PBEsol-relaxed geometry (meta-GGA SCAN, Alexandria).

abc: 3.1536 4.3330 5.1234
angles: 90.00 90.00 90.00
Closest atoms and distances in Å follow each position.
Space group Pmmm (No. 47)
Asymmetric unit:
1 In 0.0000 0.0000 0.0000 [1 per cell]  4 Os 2.68
2 Sb 0.5000 0.0000 0.5000 [1 per cell]  4 Os 2.68
3 Os 0.0000 0.5000 0.5000 [1 per cell]  4 Sb 2.68
4 Os 0.5000 0.5000 0.0000 [1 per cell]  4 In 2.68

Properties
The calculated volume comes out at 70.01 Å³/f.u.

<b>
# InSbOs2

InSbOs2 at its PBEsol-relaxed geometry (meta-GGA SCAN, Alexandria).

abc: 3.2024 3.2024 6.4768
angles: 90.00 90.00 90.00
Closest atoms and distances in Å follow each position.
Space group P4/mmm (No. 123)
Asymmetric unit:
1 In 0.0000 0.0000 0.0000 [1 per cell]  8 Os 2.82
2 Sb 0.0000 0.0000 0.5000 [1 per cell]  8 Os 2.75
3 Os 0.5000 0.5000 0.2593 [2 per cell]  4 Sb 2.75, 4 In 2.82

Properties
The calculated volume comes out at 66.42 Å³/f.u.

<c>
# InSbOs2

InSbOs2 at its PBEsol-relaxed geometry (meta-GGA SCAN, Alexandria).

abc: 8.6336 3.0331 5.3710
angles: 90.00 101.14 90.00
Closest atoms and distances in Å follow each position.
Space group C2/m (No. 12)
Asymmetric unit:
1 In 0.0000 0.0000 0.0000 [2 per cell]  6 Os 2.81-2.86, 2 In 3.03, 4 Sb 3.08
2 Sb 0.0000 0.5000 0.5000 [2 per cell]  6 Os 2.66-2.73
3 Os 0.2489 0.5000 0.2767 [4 per cell]  3 Sb 2.66-2.73, 3 In 2.81-2.86, 2 Os 2.83

Properties
The calculated volume comes out at 69.00 Å³/f.u.

What should be chosen as the most stable of them? Choose <b>.

<a>
# Tl2InOs

Tl2InOs at its PBEsol-relaxed geometry (meta-GGA SCAN, Alexandria).

abc: 3.0976 3.0976 31.5297
angles: 90.00 90.00 120.00
Closest atoms and distances in Å follow each position.
Space group R-3m (No. 166, hexagonal axes)
Asymmetric unit:
1 Tl 0.0000 0.0000 0.2384 [6 per cell]  3 Os 2.88, 6 Tl 3.10
2 In 0.0000 0.0000 0.0000 [3 per cell]  6 In 3.10
3 Os 0.0000 0.0000 0.5000 [3 per cell]  6 Tl 2.88, 6 Os 3.10

Properties
The calculated volume comes out at 87.33 Å³/f.u.

<b>
# Tl2InOs

Tl2InOs at its PBEsol-relaxed geometry (meta-GGA SCAN, Alexandria).

abc: 5.8511 8.2121 3.4198
angles: 90.00 90.00 90.00
Closest atoms and distances in Å follow each position.
Space group Cmmm (No. 65)
Asymmetric unit:
1 Tl 0.2500 0.2500 0.0000 [4 per cell]  2 Tl 2.93, 4 Os 3.05, 4 In 3.05
2 In 0.0000 0.0000 0.5000 [2 per cell]  2 Os 2.93, 8 Tl 3.05
3 Os 0.0000 0.5000 0.5000 [2 per cell]  2 In 2.93, 8 Tl 3.05

Properties
The calculated volume comes out at 82.16 Å³/f.u.

What should be chosen as the most stable of them? Choose <a>.

<a>
# InPPb2

InPPb2 at its PBEsol-relaxed geometry (meta-GGA SCAN, Alexandria).

abc: 3.8629 3.8629 24.3421
angles: 90.00 90.00 120.00
Closest atoms and distances in Å follow each position.
Space group R3m (No. 160, hexagonal axes)
Asymmetric unit:
1 In 0.0000 0.0000 0.0000 [3 per cell]  3 P 2.64
2 P 0.0000 0.0000 0.7250 [3 per cell]  3 In 2.64, 3 Pb 2.86
3 Pb 0.0000 0.0000 0.2384 [3 per cell]  3 In 3.21, 3 Pb 3.42
4 Pb 0.0000 0.0000 0.4654 [3 per cell]  3 P 2.86

Properties
The calculated volume comes out at 104.85 Å³/f.u.

<b>
# InPPb2

InPPb2 at its PBEsol-relaxed geometry (meta-GGA SCAN, Alexandria).

abc: 3.6594 3.6606 7.8686
angles: 90.00 103.30 90.00
Closest atoms and distances in Å follow each position.
Space group Pm (No. 6)
Asymmetric unit:
1 In 0.0000 0.0000 0.0000 [1 per cell]  4 P 2.75
2 P 0.4399 0.5000 0.8789 [1 per cell]  4 In 2.75, 2 Pb 2.85
3 Pb 0.2959 0.0000 0.5930 [1 per cell]  2 P 2.85
4 Pb 0.6406 0.5000 0.2859 [1 per cell]  1 P 3.12, 4 In 3.39

Properties
The calculated volume comes out at 102.57 Å³/f.u.

What should be chosen as the most stable of them? Choose <a>.

<a>
# InPPb2

InPPb2 at its PBEsol-relaxed geometry (meta-GGA SCAN, Alexandria).

abc: 7.3502 7.3502 7.3502
angles: 90.00 90.00 90.00
Closest atoms and distances in Å follow each position.
Space group F-43m (No. 216)
Asymmetric unit:
1 In 0.0000 0.0000 0.0000 [4 per cell]  4 Pb 3.18, 4 P 3.18
2 P 0.2500 0.2500 0.7500 [4 per cell]  4 In 3.18, 4 Pb 3.18
3 Pb 0.0000 0.0000 0.5000 [4 per cell]  4 P 3.18, 4 Pb 3.18
4 Pb 0.2500 0.2500 0.2500 [4 per cell]  4 In 3.18, 4 Pb 3.18

Properties
The calculated volume comes out at 99.27 Å³/f.u.

<b>
# InPPb2

InPPb2 at its PBEsol-relaxed geometry (meta-GGA SCAN, Alexandria).

abc: 12.1226 3.7724 4.9211
angles: 90.00 113.45 90.00
Closest atoms and distances in Å follow each position.
Space group C2/m (No. 12)
Asymmetric unit:
1 In 0.0000 0.0000 0.0000 [2 per cell]  4 P 3.10, 4 Pb 3.27-3.31
2 P 0.0000 0.5000 0.5000 [2 per cell]  4 Pb 2.88, 4 In 3.10
3 Pb 0.1961 0.0000 0.6969 [4 per cell]  2 P 2.88

Properties
The calculated volume comes out at 103.23 Å³/f.u.

What should be chosen as the most stable of them? Choose <b>.

<a>
# In2PPb

In2PPb at its PBEsol-relaxed geometry (meta-GGA SCAN, Alexandria).

abc: 5.7857 10.9546 4.1671
angles: 90.00 132.85 90.00
Closest atoms and distances in Å follow each position.
Space group C2/m (No. 12)
Asymmetric unit:
1 In 0.2500 0.2500 0.0000 [4 per cell]  4 In 2.89-3.06, 2 Pb 3.14, 2 P 3.14
2 P 0.0000 0.0000 0.5000 [2 per cell]  4 Pb 2.89-3.06, 4 In 3.14
3 Pb 0.0000 0.5000 0.5000 [2 per cell]  4 P 2.89-3.06, 4 In 3.14

Properties
The calculated volume comes out at 96.82 Å³/f.u.

<b>
# In2PPb

In2PPb at its PBEsol-relaxed geometry (meta-GGA SCAN, Alexandria).

abc: 3.7025 5.0174 10.4326
angles: 90.00 90.00 90.00
Closest atoms and distances in Å follow each position.
Space group Imm2 (No. 44)
Asymmetric unit:
1 In 0.0000 0.0000 0.0000 [2 per cell]  4 P 3.12, 2 In 3.29, 2 Pb 3.29
2 In 0.0000 0.5000 0.2033 [2 per cell]  2 P 2.76
3 P 0.0000 0.0000 0.5071 [2 per cell]  2 In 2.76, 2 Pb 2.87
4 Pb 0.0000 0.5000 0.7965 [2 per cell]  2 P 2.87

Properties
The calculated volume comes out at 96.90 Å³/f.u.

What should be chosen as the most stable of them? Choose <b>.